! Al2AsIrO | Alexandria via LeMat-Bulk | GGA-PBEsol | optimized geometry; values from VASP
! E_form (uncorrected)	-412.2	meV/atom
! symmetry	No. 123
! total energy	-6.085	eV/atom
&SYSTEM
  ibrav = 0, nat = 5, ntyp = 4
/
ATOMIC_SPECIES
As 74.92 As.upf
Ir 192.22 Ir.upf
Al 26.98 Al.upf
O 16.00 O.upf
CELL_PARAMETERS angstrom
3.884 0.000 0.000
0.000 3.884 0.000
0.000 0.000 4.400
ATOMIC_POSITIONS angstrom
As 0.000 0.000 2.200
Ir 1.942 1.942 2.200
Al 0.000 1.942 0.000
Al 1.942 0.000 0.000
O 0.000 0.000 0.000